3
Lattice="0.000 2.404 6.979 1.545 0.000 6.979 1.545 2.404 0.000" Properties=species:S:1:pos:R:3 comment="InTcMo | Alexandria via LeMat-Bulk | PBE | relaxed" n_ef_per_ev_cell=2.5 crystal_system=orthorhombic ef_ev_per_atom=0.333 de_polymorph_mev_per_atom=235.1 spacegroup="No. 42" pbc="T T T"
In 0.000 0.000 0.000
Tc 1.545 2.404 9.408
Mo 1.545 2.404 4.500